No. 1
A relaxed PaVFe2 crystal. Source: Alexandria via LeMat-Bulk, functional GGA-PBE. Values from VASP.

Properties
Space-group type = R-3m (166)
Raw total energy = -35.57 eV per formula unit
Calculated density = 10.41 g/cm3
Excess energy over the best structure of this formula in the dataset = 113 meV per atom
DFT formation energy = -8 meV per atom

Geometry as Quantum ESPRESSO input:
```
&SYSTEM
  ibrav = 0, nat = 4, ntyp = 3
/
ATOMIC_SPECIES
V 50.94 V.upf
Pa 231.04 Pa.upf
Fe 55.84 Fe.upf
CELL_PARAMETERS angstrom
-3.1800 2.4452 1.5266
-3.9987 -0.5142 -1.4723
-3.0874 -2.0173 2.8336
ATOMIC_POSITIONS crystal
V 0.5000 0.5000 0.5000
Pa 0.0000 0.0000 0.0000
Fe 0.8004 0.8004 0.5987
Fe 0.1996 0.1996 0.4013
```

=====

No. 2
A relaxed AlF crystal. Source: Alexandria via LeMat-Bulk, functional GGA-PBE. Values from VASP.

Properties
Space-group type = Fddd (70)
Raw total energy = -9.55 eV per formula unit
Formation energy (no corrections) = -1.970 eV/atom
Calculated density = 2.09 g/cm3

Geometry as Quantum ESPRESSO input:
```
&SYSTEM
  ibrav = 0, nat = 32, ntyp = 2
/
ATOMIC_SPECIES
Al 26.98 Al.upf
F 19.00 F.upf
CELL_PARAMETERS angstrom
-3.9043 1.6170 2.3124
4.8170 -5.4955 11.9761
4.0981 7.3977 1.7462
ATOMIC_POSITIONS crystal
Al 0.0000 0.1597 0.5000
Al 0.5000 0.8403 0.0000
Al 0.0000 0.3403 0.0000
Al 0.0000 0.6597 0.0000
Al 0.0000 0.8403 0.5000
Al 0.2500 0.5903 0.7500
Al 0.5000 0.6597 0.5000
Al 0.7500 0.4097 0.7500
Al 0.5000 0.1597 0.0000
Al 0.2500 0.9097 0.7500
Al 0.7500 0.0903 0.7500
Al 0.7500 0.9097 0.2500
Al 0.2500 0.0903 0.2500
Al 0.2500 0.4097 0.2500
Al 0.7500 0.5903 0.2500
Al 0.5000 0.3403 0.5000
F 0.2500 0.7500 0.4259
F 0.7500 0.2500 0.4259
F 0.0000 0.0000 0.8241
F 0.5000 0.0000 0.6759
F 0.2500 0.2500 0.9259
F 0.7500 0.7500 0.5741
F 0.2500 0.7500 0.0741
F 0.2500 0.2500 0.5741
F 0.7500 0.7500 0.9259
F 0.0000 0.0000 0.1759
F 0.0000 0.5000 0.3241
F 0.5000 0.5000 0.1759
F 0.0000 0.5000 0.6759
F 0.5000 0.5000 0.8241
F 0.5000 0.0000 0.3241
F 0.7500 0.2500 0.0741
```

=====

Question: raw total energy of number 1 (PaVFe2)?
Answer: -35.57 eV per formula unit

=====

Question: Which of these has the highest raw total energy?
Answer: AlF